one | The following is a PBE calculation of an optimized crystal structure of Y2SF, from Alexandria.

Output
**Space-group type**: No. 225
**Volume**: 72 Å³/f.u.
**Crystal system**: cubic
**N(E_F)**: 3.7 states/eV per cell

a = 4.6745 Å, b = 4.6745 Å, c = 4.6745 Å
α = 60.00°, β = 60.00°, γ = 60.00°
Closest atoms and distances in Å follow each position.
Positions (direct):
Y1 0.2500 0.2500 0.2500  4 F 2.86, 4 S 2.86
Y2 0.7500 0.7500 0.7500  4 S 2.86, 4 F 2.86
S1 0.0000 0.0000 0.0000  8 Y 2.86
F1 0.5000 0.5000 0.5000  8 Y 2.86

***

two | The following is a PBE calculation of an optimized crystal structure of Y2SF, from Alexandria.

Output
**Space-group type**: No. 122
**Volume**: 99 Å³/f.u.
**Crystal system**: tetragonal
**N(E_F)**: 8.6 states/eV per cell

a = 7.0991 Å, b = 7.0991 Å, c = 7.0991 Å
α = 131.35°, β = 131.35°, γ = 71.27°
Closest atoms and distances in Å follow each position.
Positions (direct):
Y1 0.0975 0.6250 0.9725  2 F 2.43, 2 S 2.62
Y2 0.3750 0.3475 0.4725  2 F 2.43, 2 S 2.62
Y3 0.6525 0.1250 0.0275  2 F 2.43, 2 S 2.62
Y4 0.8750 0.9025 0.5275  2 F 2.43, 2 S 2.62
S1 0.2500 0.7500 0.5000  4 Y 2.62
S2 0.5000 0.5000 0.0000  4 Y 2.62
F1 0.0000 0.0000 0.0000  4 Y 2.43
F2 0.7500 0.2500 0.5000  4 Y 2.43

***

Stability, descending: two, one

***

one | The following is a PBE calculation of an optimized crystal structure of YSF2, from Alexandria.

Output
**Space-group type**: No. 122
**Volume**: 70 Å³/f.u.
**Crystal system**: tetragonal
**N(E_F)**: 0.0 states/eV per cell

a = 8.1814 Å, b = 8.1814 Å, c = 8.1814 Å
α = 149.54°, β = 149.54°, γ = 43.62°
Closest atoms and distances in Å follow each position.
Positions (direct):
Y1 0.0000 0.0000 0.0000  4 F 2.25
Y2 0.7500 0.2500 0.5000  4 F 2.25
S1 0.2500 0.7500 0.5000  4 F 2.70
S2 0.5000 0.5000 0.0000  4 F 2.70
F1 0.0050 0.6250 0.8800  2 Y 2.25, 2 F 2.42
F2 0.3750 0.2550 0.3800  2 Y 2.25, 2 F 2.42
F3 0.7450 0.1250 0.1200  2 Y 2.25, 2 F 2.42
F4 0.8750 0.9950 0.6200  2 Y 2.25, 2 F 2.42

***

two | The following is a PBE calculation of an optimized crystal structure of YSF2, from Alexandria.

Output
**Space-group type**: No. 225
**Volume**: 57 Å³/f.u.
**Crystal system**: cubic
**N(E_F)**: 3.3 states/eV per cell

a = 4.3271 Å, b = 4.3271 Å, c = 4.3271 Å
α = 60.00°, β = 60.00°, γ = 60.00°
Closest atoms and distances in Å follow each position.
Positions (direct):
Y1 0.0000 0.0000 0.0000  8 F 2.65
S1 0.5000 0.5000 0.5000  8 F 2.65
F1 0.2500 0.2500 0.2500  4 S 2.65, 4 Y 2.65
F2 0.7500 0.7500 0.7500  4 S 2.65, 4 Y 2.65

***

three | The following is a PBE calculation of an optimized crystal structure of YSF2, from Alexandria.

Output
**Space-group type**: No. 166
**Volume**: 69 Å³/f.u.
**Crystal system**: trigonal
**N(E_F)**: 0.8 states/eV per cell

a = 5.7865 Å, b = 5.7865 Å, c = 5.7865 Å
α = 38.86°, β = 38.86°, γ = 38.86°
Closest atoms and distances in Å follow each position.
Positions (direct):
Y1 0.0000 0.0000 0.0000  6 F 2.29
S1 0.5000 0.5000 0.5000  8 F 3.07-3.23
F1 0.2987 0.2987 0.2987  3 Y 2.29, 3 F 2.48
F2 0.7013 0.7013 0.7013  3 Y 2.29, 3 F 2.48

***

Stability, descending: three, one, two

***

one | The following is a PBE calculation of an optimized crystal structure of ZnSF3, from Alexandria.

Output
**Space-group type**: No. 221
**Volume**: 77 Å³/f.u.
**Crystal system**: cubic
**N(E_F)**: 2.2 states/eV per cell

a = 4.2491 Å, b = 4.2491 Å, c = 4.2491 Å
α = 90.00°, β = 90.00°, γ = 90.00°
Closest atoms and distances in Å follow each position.
Positions (direct):
Zn1 0.0000 0.0000 0.0000  12 F 3.00
S1 0.5000 0.5000 0.5000  6 F 2.12
F1 0.0000 0.5000 0.5000  2 S 2.12
F2 0.5000 0.0000 0.5000  2 S 2.12
F3 0.5000 0.5000 0.0000  2 S 2.12

***

two | The following is a PBE calculation of an optimized crystal structure of ZnSF3, from Alexandria.

Output
**Space-group type**: No. 221
**Volume**: 70 Å³/f.u.
**Crystal system**: cubic
**N(E_F)**: 0.0 states/eV per cell

a = 4.1135 Å, b = 4.1135 Å, c = 4.1135 Å
α = 90.00°, β = 90.00°, γ = 90.00°
Closest atoms and distances in Å follow each position.
Positions (direct):
Zn1 0.0000 0.0000 0.0000  6 F 2.06
S1 0.5000 0.5000 0.5000  12 F 2.91
F1 0.0000 0.0000 0.5000  2 Zn 2.06
F2 0.0000 0.5000 0.0000  2 Zn 2.06
F3 0.5000 0.0000 0.0000  2 Zn 2.06

***

Stability, descending: two, one